The following is a DFT calculation (PBE) of a relaxed Tb4Mg3Co crystal.

a b c (Å): 3.4691 3.4691 16.9706
angles (deg): 90.00 90.00 90.00
Closest atoms and distances in Å follow each position.
Atoms (fractional coordinates):
Tb (0.0000, 0.0000, 0.0949)  4 Co 2.93, 1 Tb 3.22
Tb (0.0000, 0.0000, 0.3658)  8 Mg 3.32-3.35, 4 Tb 3.47
Tb (0.0000, 0.0000, 0.6342)  8 Mg 3.32-3.35, 4 Tb 3.47
Tb (0.0000, 0.0000, 0.9051)  4 Co 2.93, 1 Tb 3.22
Mg (0.5000, 0.5000, 0.2342)  8 Tb 3.32-3.41, 4 Mg 3.47
Mg (0.5000, 0.5000, 0.5000)  8 Tb 3.35, 4 Mg 3.47
Mg (0.5000, 0.5000, 0.7658)  8 Tb 3.32-3.41, 4 Mg 3.47
Co (0.5000, 0.5000, 0.0000)  8 Tb 2.93

E_tot = -31.1 eV per cell
density of states at the Fermi level = 7.685 states/eV per cell
energy relative to the elements = -89.0 meV per atom

The following is a DFT calculation (PBE) of a relaxed TbEr6Th12 crystal.

a b c (Å): 8.7064 8.7064 8.7064
angles (deg): 99.60 99.60 99.60
Closest atoms and distances in Å follow each position.
Atoms (fractional coordinates):
Tb (0.0000, 0.0000, 0.0000)  6 Er 3.41, 6 Th 3.80
Er (0.0992, 0.0992, 0.6617)  1 Er 3.11, 1 Tb 3.41, 2 Th 3.42
Er (0.0992, 0.6617, 0.0992)  1 Er 3.11, 1 Tb 3.41, 2 Th 3.42
Er (0.3383, 0.9008, 0.9008)  1 Er 3.11, 1 Tb 3.41, 2 Th 3.42
Er (0.6617, 0.0992, 0.0992)  1 Er 3.11, 1 Tb 3.41, 2 Th 3.42
Er (0.9008, 0.3383, 0.9008)  1 Er 3.11, 1 Tb 3.41, 2 Th 3.42
Er (0.9008, 0.9008, 0.3383)  1 Er 3.11, 1 Tb 3.41, 2 Th 3.42
Th (0.0829, 0.3494, 0.3494)  6 Th 3.40-3.54, 2 Er 3.76
Th (0.2463, 0.5000, 0.7537)  6 Th 3.37-3.51, 4 Er 3.42-3.63
Th (0.2463, 0.7537, 0.5000)  6 Th 3.37-3.51, 4 Er 3.42-3.63
Th (0.3494, 0.0829, 0.3494)  6 Th 3.40-3.54, 2 Er 3.76
Th (0.3494, 0.3494, 0.0829)  6 Th 3.40-3.54, 2 Er 3.76
Th (0.5000, 0.2463, 0.7537)  6 Th 3.37-3.51, 4 Er 3.42-3.63
Th (0.5000, 0.7537, 0.2463)  6 Th 3.37-3.51, 4 Er 3.42-3.63
Th (0.6506, 0.6506, 0.9171)  6 Th 3.40-3.54, 2 Er 3.76
Th (0.6506, 0.9171, 0.6506)  6 Th 3.40-3.54, 2 Er 3.76
Th (0.7537, 0.2463, 0.5000)  6 Th 3.37-3.51, 4 Er 3.42-3.63
Th (0.7537, 0.5000, 0.2463)  6 Th 3.37-3.51, 4 Er 3.42-3.63
Th (0.9171, 0.6506, 0.6506)  6 Th 3.40-3.54, 2 Er 3.76

E_tot = -116.4 eV per cell
density of states at the Fermi level = 30.271 states/eV per cell
energy relative to the elements = 242.7 meV per atom

The following is a DFT calculation (PBE) of a relaxed TcNiSe2 crystal.

a b c (Å): 8.1862 8.1862 8.1862
angles (deg): 22.49 22.49 22.49
Closest atoms and distances in Å follow each position.
Atoms (fractional coordinates):
Tc (0.0000, 0.0000, 0.0000)  6 Se 2.54
Ni (0.5000, 0.5000, 0.5000)  2 Se 2.24
Se (0.4064, 0.4064, 0.4064)  1 Ni 2.24
Se (0.5936, 0.5936, 0.5936)  1 Ni 2.24

E_tot = -22.8 eV per cell
density of states at the Fermi level = 3.812 states/eV per cell
E above lowest polymorph = 34.3 kJ/mol of atoms
formation energy from raw total energies = 79 meV per atom

The following is a DFT calculation (PBE) of a relaxed Dy2Al2ZnNi5 crystal.

a b c (Å): 9.9600 9.9600 3.0845
angles (deg): 90.00 90.00 90.00
Closest atoms and distances in Å follow each position.
Atoms (fractional coordinates):
Dy (0.1737, 0.3263, 0.0000)  3 Al 2.81-3.03, 6 Ni 2.89-3.00, 2 Dy 3.08
Dy (0.3263, 0.8263, 0.0000)  3 Al 2.81-3.03, 6 Ni 2.89-3.00, 2 Dy 3.08
Dy (0.6737, 0.1737, 0.0000)  3 Al 2.81-3.03, 6 Ni 2.89-3.00, 2 Dy 3.08
Dy (0.8263, 0.6737, 0.0000)  3 Al 2.81-3.03, 6 Ni 2.89-3.00, 2 Dy 3.08
Al (0.1269, 0.6269, 0.0000)  6 Ni 2.36-2.46
Al (0.3731, 0.1269, 0.0000)  6 Ni 2.36-2.46
Al (0.6269, 0.8731, 0.0000)  6 Ni 2.36-2.46
Al (0.8731, 0.3731, 0.0000)  6 Ni 2.36-2.46
Zn (0.0000, 0.0000, 0.0000)  8 Ni 2.55
Zn (0.5000, 0.5000, 0.0000)  8 Ni 2.55
Ni (0.0000, 0.5000, 0.5000)  4 Al 2.36
Ni (0.0501, 0.8029, 0.5000)  2 Al 2.46, 2 Zn 2.55
Ni (0.1971, 0.0501, 0.5000)  2 Al 2.46, 2 Zn 2.55
Ni (0.3029, 0.5501, 0.5000)  2 Al 2.46, 2 Zn 2.55
Ni (0.4499, 0.3029, 0.5000)  2 Al 2.46, 2 Zn 2.55
Ni (0.5000, 0.0000, 0.5000)  4 Al 2.36
Ni (0.5501, 0.6971, 0.5000)  2 Al 2.46, 2 Zn 2.55
Ni (0.6971, 0.4499, 0.5000)  2 Al 2.46, 2 Zn 2.55
Ni (0.8029, 0.9499, 0.5000)  2 Al 2.46, 2 Zn 2.55
Ni (0.9499, 0.1971, 0.5000)  2 Al 2.46, 2 Zn 2.55

E_tot = -100.1 eV per cell
density of states at the Fermi level = 14.508 states/eV per cell
energy relative to the elements = -315.8 meV per atom

The following is a DFT calculation (PBE) of a relaxed PmNd2Er5 crystal.

a b c (Å): 7.1330 14.2733 5.0422
angles (deg): 90.00 90.00 90.00
Closest atoms and distances in Å follow each position.
Atoms (fractional coordinates):
Pm (0.0000, 0.0000, 0.0000)  8 Er 3.56-3.58, 4 Nd 3.58
Pm (0.5000, 0.5000, 0.0000)  8 Er 3.56-3.58, 4 Nd 3.58
Nd (0.2478, 0.3741, 0.5000)  10 Er 3.55-3.59, 2 Pm 3.58
Nd (0.2522, 0.8741, 0.5000)  10 Er 3.55-3.59, 2 Pm 3.58
Nd (0.7478, 0.1259, 0.5000)  10 Er 3.55-3.59, 2 Pm 3.58
Nd (0.7522, 0.6259, 0.5000)  10 Er 3.55-3.59, 2 Pm 3.58
Er (0.0000, 0.5000, 0.0000)  6 Er 3.56-3.57, 4 Nd 3.56, 2 Pm 3.57
Er (0.0019, 0.7492, 0.0000)  4 Nd 3.55-3.57, 7 Er 3.56-3.57, 1 Pm 3.58
Er (0.2485, 0.1254, 0.5000)  4 Nd 3.55-3.59, 6 Er 3.56-3.57, 2 Pm 3.56
Er (0.2515, 0.6254, 0.5000)  4 Nd 3.55-3.59, 6 Er 3.56-3.57, 2 Pm 3.56
Er (0.4981, 0.2492, 0.0000)  4 Nd 3.55-3.57, 7 Er 3.56-3.57, 1 Pm 3.58
Er (0.5000, 0.0000, 0.0000)  6 Er 3.56-3.57, 4 Nd 3.56, 2 Pm 3.57
Er (0.5019, 0.7508, 0.0000)  4 Nd 3.55-3.57, 7 Er 3.56-3.57, 1 Pm 3.58
Er (0.7485, 0.3746, 0.5000)  4 Nd 3.55-3.59, 6 Er 3.56-3.57, 2 Pm 3.56
Er (0.7515, 0.8746, 0.5000)  4 Nd 3.55-3.59, 6 Er 3.56-3.57, 2 Pm 3.56
Er (0.9981, 0.2508, 0.0000)  4 Nd 3.55-3.57, 7 Er 3.56-3.57, 1 Pm 3.58

E_tot = -73.9 eV per cell
density of states at the Fermi level = 21.554 states/eV per cell
energy relative to the elements = 21.0 meV per atom
E above lowest polymorph = 0.0 kJ/mol of atoms

The following is a DFT calculation (PBE) of a relaxed KSc2Cu crystal.

a b c (Å): 4.9235 4.9235 8.5035
angles (deg): 107.10 107.10 40.15
Closest atoms and distances in Å follow each position.
Atoms (fractional coordinates):
K (0.0000, 0.0000, 0.0000)  2 K 3.38, 2 Cu 3.50
Sc (0.1508, 0.1508, 0.6157)  2 Cu 2.64
Sc (0.3681, 0.3681, 0.3734)  3 Cu 2.60-2.63
Cu (0.6505, 0.6505, 0.3764)  5 Sc 2.60-2.64

E_tot = -16.4 eV per cell
density of states at the Fermi level = 5.048 states/eV per cell
energy relative to the elements = 365.6 meV per atom
E above lowest polymorph = 17.2 kJ/mol of atoms

- What is the E_tot in the first record?
  -31.1 eV per cell